No. 1
{"formula": "LaHf2Sn2", "functional": "PBE", "state": "optimized geometry", "lattice_angstrom": [[8.7552, 0.0000, 0.0000], [0.0000, 8.7552, 0.0000], [0.0000, 0.0000, 3.2629]], "species": ["La", "La", "Hf", "Hf", "Hf", "Hf", "Sn", "Sn", "Sn", "Sn"], "fractional_positions": [[0.0000, 0.0000, 0.0000], [0.5000, 0.5000, 0.0000], [0.1355, 0.3645, 0.5000], [0.3645, 0.8645, 0.5000], [0.6355, 0.1355, 0.5000], [0.8645, 0.6355, 0.5000], [0.1555, 0.6555, 0.0000], [0.3445, 0.1555, 0.0000], [0.6555, 0.8445, 0.0000], [0.8445, 0.3445, 0.0000]], "spacegroup": "P4/mbm, No. 127", "e_tot_ev_per_atom": -6.8928, "e_above_lowest_polymorph_mev_per_atom": 107, "n_ef_per_ev_atom": 0.642}

---

No. 2
{"formula": "Na2In6GaAg", "functional": "PBE", "state": "optimized geometry", "lattice_angstrom": [[3.7310, 2.1541, 12.0616], [-3.7310, 2.1541, 12.0616], [0.0000, -4.3082, 12.0616]], "species": ["Na", "Na", "Na", "Na", "In", "In", "In", "In", "In", "In", "In", "In", "In", "In", "In", "In", "Ga", "Ga", "Ag", "Ag"], "fractional_positions": [[0.1051, 0.1051, 0.1051], [0.2842, 0.2842, 0.2842], [0.7158, 0.7158, 0.7158], [0.8949, 0.8949, 0.8949], [0.0698, 0.6610, 0.6610], [0.2255, 0.2255, 0.6454], [0.2255, 0.6454, 0.2255], [0.3390, 0.3390, 0.9302], [0.3390, 0.9302, 0.3390], [0.3545, 0.7745, 0.7745], [0.6454, 0.2255, 0.2255], [0.6610, 0.0698, 0.6610], [0.6610, 0.6610, 0.0698], [0.7745, 0.3546, 0.7745], [0.7745, 0.7745, 0.3546], [0.9302, 0.3390, 0.3390], [0.4264, 0.4264, 0.4264], [0.5736, 0.5736, 0.5736], [0.0000, 0.0000, 0.0000], [0.5000, 0.5000, 0.5000]], "spacegroup": "R-3m, No. 166", "e_tot_ev_per_atom": -2.4396, "n_ef_per_ev_atom": 0.528}

---

No. 3
{"formula": "PmDyTm6", "functional": "PBE", "state": "optimized geometry", "lattice_angstrom": [[3.4732, -6.0753, 0.0000], [3.4732, 6.0753, 0.0000], [-3.4570, 0.0000, 6.0381]], "species": ["Pm", "Dy", "Tm", "Tm", "Tm", "Tm", "Tm", "Tm"], "fractional_positions": [[0.0000, 0.0000, 0.0000], [0.5000, 0.5000, 0.5000], [0.0190, 0.4733, 0.2513], [0.2478, 0.2478, 0.7490], [0.4733, 0.0190, 0.2513], [0.5267, 0.9810, 0.7487], [0.7522, 0.7522, 0.2510], [0.9810, 0.5267, 0.7487]], "spacegroup": "C2/m, No. 12", "e_tot_ev_per_atom": -4.0876, "e_above_lowest_polymorph_mev_per_atom": 307, "n_ef_per_ev_atom": 1.883}

---

No. 4
{"formula": "CsTaS2N", "functional": "PBE", "state": "optimized geometry", "lattice_angstrom": [[5.0562, 0.0000, 0.0000], [0.0000, 5.0562, 0.0000], [0.0000, 0.0000, 4.1388]], "species": ["Cs", "Ta", "S", "S", "N"], "fractional_positions": [[0.0000, 0.0000, 0.0000], [0.5000, 0.5000, 0.5000], [0.0000, 0.5000, 0.5000], [0.5000, 0.0000, 0.5000], [0.5000, 0.5000, 0.0000]], "spacegroup": "P4/mmm, No. 123", "e_tot_ev_per_atom": -6.3800, "e_above_lowest_polymorph_mev_per_atom": 0, "formation_energy_uncorrected_ev_per_fu": -2.6, "n_ef_per_ev_atom": 0.524}

---

The evaluated total magnetization for the records listed, in turn: 0.000, 0.000, 0.055, 0.195 μB per atom.